Sm4Er2Al PBE relaxed; density = 7.3 Mg/m³; DFT formation energy = -2.24 kJ/mol of atoms; space group = No. 166
1.0
1.817 1.049 19.158
-1.817 1.049 19.158
0.000 -2.098 19.158
Sm Er Al
4 2 1
Direct
0.093 0.093 0.093
0.293 0.293 0.293
0.707 0.707 0.707
0.907 0.907 0.907
0.191 0.191 0.191
0.809 0.809 0.809
0.000 0.000 0.000